The following is a DFT calculation (GGA-PBE) of a geometry-optimized BiP3S9 structure.

Geometry as extended XYZ:
```
26
Lattice="-3.7492 -2.5736 -7.0233 5.7663 -3.6078 -6.7400 -2.0023 -9.8774 -0.2955" Properties=species:S:1:pos:R:3 pbc="T T T"
P 1.3250 -5.4075 -4.5421
P 3.8332 -11.7203 -6.8869
P 2.3351 -5.9696 -8.0966
P -1.2918 -10.6543 -9.4408
P -3.8637 -4.3853 -7.2155
P -2.2490 -9.5848 -6.1853
S -2.4068 -5.3614 -8.2398
S 2.0638 -11.0385 -6.2817
S 4.0776 -4.6758 -8.1689
S -0.7551 -7.0312 -10.9041
S -4.3893 -9.3490 -6.1051
S -1.5921 -7.8705 -5.3418
S 0.6197 -11.3184 -9.6136
S 1.6909 -7.4988 -4.3586
S 0.9290 -5.2298 -6.6411
S -1.6963 -11.3527 -5.4516
S 1.6211 -5.1963 -9.8211
S 2.6012 -7.9342 -7.8997
S -3.0225 -2.6999 -6.1450
S 1.1515 -9.2638 -12.6110
S -0.3770 -4.6795 -3.8108
S -1.6936 -8.1439 -2.1636
S -1.5085 -8.9788 -8.1346
S -2.4024 -12.1719 -8.7698
Bi 0.6842 -11.6139 -3.6802
Bi 2.7653 -9.7169 -10.2804
```

Summary:
Formation energy without anion corrections ... -11.97 kJ per mole of atoms

---

The following is a DFT calculation (GGA-PBE) of a geometry-optimized Tl2ReRh structure.

Geometry as extended XYZ:
```
4
Lattice="-3.1487 -2.9978 -1.8519 3.4951 -2.9725 -1.1309 -0.3106 -1.4737 2.9136" Properties=species:S:1:pos:R:3 pbc="T T T"
Rh -0.1553 -0.7368 1.4568
Re 0.0179 -3.7220 -0.0346
Tl 1.7476 -1.4863 -0.5655
Tl -1.5744 -1.4989 -0.9259
```

Summary:
Energy of formation ... 17.6 kcal/mol of atoms
ΔE to the lowest computed polymorph ... 349 meV per atom

---

The following is a DFT calculation (GGA-PBE) of a geometry-optimized Mg2Cu4Sn structure.

Geometry as extended XYZ:
```
7
Lattice="-2.1930 4.1478 -3.0448 -1.4412 -5.6985 -0.4429 -2.6303 -1.8535 3.7676" Properties=species:S:1:pos:R:3 pbc="T T T"
Cu -4.0592 -2.0336 -0.7985
Cu -1.0965 2.0739 -1.5224
Cu -2.2052 -1.3707 1.0784
Cu -0.7206 -2.8493 -0.2215
Mg -3.3167 -3.7417 1.0467
Mg -2.9477 0.3374 -0.7668
Sn 0.0000 0.0000 0.0000
```

Summary:
Energy of formation ... 0.3 kcal/mol of atoms

---

The following is a DFT calculation (GGA-PBE) of a geometry-optimized PuTh2InN5 structure.

Geometry as extended XYZ:
```
18
Lattice="-1.9589 -0.7472 -2.8883 6.7260 -2.1062 -1.8118 -2.0706 -10.0592 4.0067" Properties=species:S:1:pos:R:3 pbc="T T T"
Pu 1.2532 -6.7978 -1.2964
Pu 0.4139 -11.1157 2.5950
In -2.8262 -10.2437 2.3618
In 4.5955 -7.1737 -1.2609
N 3.9681 -10.2603 -0.0368
N 2.6820 -5.0268 -0.5185
N -1.3977 -3.2648 -0.4125
N -0.4132 -9.9638 0.6529
N 4.1115 -2.2817 -2.1982
N 1.2165 -2.8822 -2.2845
N -0.5716 -6.5334 -0.1272
N 1.9251 -7.8681 0.7299
N 2.8893 -8.1948 -2.0446
N 0.5872 -0.9288 -0.1580
Th -0.0860 -7.6094 2.0270
Th 1.6248 -9.9209 -0.7404
Th 0.9927 -3.3756 0.2000
Th 2.9973 -4.2598 -3.1359
```

Summary:
Formation energy without anion corrections ... -95.23 kJ per mole of atoms

---

The following is a DFT calculation (GGA-PBE) of a geometry-optimized MnReCl2 structure.

Geometry as extended XYZ:
```
4
Lattice="8.1742 0.1326 -0.3643 7.5788 3.0653 -0.3643 -0.8753 -0.1777 4.1525" Properties=species:S:1:pos:R:3 pbc="T T T"
Cl 1.5326 0.3111 0.3836
Cl 5.9063 1.1990 1.3284
Re 3.7194 0.7551 0.8560
Mn 11.1583 2.2652 2.5680
```

Summary:
ΔE to the lowest computed polymorph ... 265 meV per atom
Formation energy without anion corrections ... 14.22 kJ per mole of atoms

---

The following is a DFT calculation (GGA-PBE) of a geometry-optimized Li2InPt2 structure.

Geometry as extended XYZ:
```
5
Lattice="-3.2749 -0.9889 0.8129 0.2038 -2.6072 -2.3506 0.8624 -5.8626 3.9473" Properties=species:S:1:pos:R:3 pbc="T T T"
Pt -1.1758 -6.8086 2.1899
Pt -1.0329 -2.6501 0.2198
In 0.0000 0.0000 0.0000
Li -0.2347 -5.1339 0.4140
Li -1.9740 -4.3248 1.9957
```

Summary:
Energy of formation ... -6.9 kcal/mol of atoms
ΔE to the lowest computed polymorph ... 246 meV per atom

---

The following is a DFT calculation (GGA-PBE) of a geometry-optimized Bi3Sb5Se12 structure.

Geometry as extended XYZ:
```
80
Lattice="-10.3653 1.5535 -10.5234 -6.5680 -1.4658 13.2404 8.7666 11.9886 0.1223" Properties=species:S:1:pos:R:3 pbc="T T T"
Bi -5.8003 2.6636 4.3596
Bi 0.9745 9.9623 5.7514
Bi -7.6990 4.1732 -7.5223
Bi -4.8328 5.1002 -3.2211
Bi -12.8998 1.7586 0.7376
Bi -3.3339 6.9761 6.0605
Bi -2.3664 9.4127 -1.5202
Bi 4.7331 10.3178 2.1017
Bi -0.4677 7.9031 10.3617
Bi -9.1412 2.1140 -2.9121
Bi -8.0419 7.3755 3.7693
Bi -0.1249 4.7009 -0.9299
Se -5.9458 0.3877 6.5764
Se 4.0301 9.4034 5.0687
Se -3.3816 4.6738 3.8669
Se 1.6362 7.7873 7.9755
Se -3.6954 3.1692 11.2491
Se -12.1968 2.6730 -2.2294
Se 5.9951 11.5371 -0.5543
Se -14.1618 0.5393 3.3936
Se -4.7851 7.4026 -1.0275
Se -5.7080 0.4111 11.2203
Se -4.9707 3.5609 -6.0008
Se -5.9617 2.1480 -2.8419
Se -3.2461 4.1739 -0.6215
Se -3.2735 7.7425 -4.0702
Se -6.8500 6.3365 -5.3510
Se -4.7974 11.4480 -1.2348
Se -4.9206 7.9024 3.4609
Se -8.3300 0.7417 4.1580
Se -2.4587 11.6653 -8.3810
Se -3.1960 8.5154 8.8402
Se -7.9245 1.5143 -5.7920
Se -8.0872 9.5473 1.4463
Se -2.2209 11.6886 -3.7370
Se 1.6497 9.7607 2.6471
Se -2.4133 11.0880 1.1828
Se -1.7394 4.5112 -3.6669
Se 1.9377 5.2837 1.4238
Se -5.7534 0.9884 1.6565
Se -0.2422 10.5621 8.6313
Se -0.3305 7.1501 5.0287
Se -12.1456 3.2947 3.4184
Se -3.3693 0.6283 4.0741
Se -6.6090 4.9445 2.2958
Se -9.8029 4.2891 -5.1361
Se -0.0463 7.4657 -2.4999
Se -6.4273 7.5652 6.5062
Se -7.8362 4.9262 -2.1893
Se -10.1044 6.7927 1.4155
Se -0.0795 2.5290 1.3930
Se 3.9789 8.7817 -0.5791
Se -8.1204 4.6107 5.3393
Se 0.1633 11.3347 -1.3187
Se -9.8164 2.3156 0.1923
Se -1.3167 5.7398 8.1903
Se -4.8932 4.3339 6.9095
Se -1.5577 7.1319 0.5435
Se -2.2050 9.9283 5.6812
Se -4.4713 8.9072 -8.4098
Sb -8.4667 0.0439 1.3585
Sb 0.0000 0.0000 0.0000
Sb -10.0337 2.6856 5.0388
Sb -4.4332 1.7147 -0.6209
Sb -4.0834 6.0382 1.4197
Sb -6.5997 9.4347 -0.8410
Sb -7.2425 0.6044 8.9698
Sb -2.9342 3.5906 8.6608
Sb -0.7994 6.7711 -5.2005
Sb -3.2840 -0.7329 6.6202
Sb 0.4248 7.3316 2.4108
Sb -1.5670 2.6417 3.6803
Sb 1.8670 9.3908 -2.1995
Sb -0.9242 11.4719 -6.1305
Sb -5.2325 8.4858 -5.8214
Sb -3.7335 10.3617 3.4602
Sb -5.1827 0.7767 -5.2617
Sb 4.3833 5.9943 0.0612
Sb 1.0993 5.2614 6.6814
Sb -8.5915 4.7448 0.4286
```

Summary:
Formation energy without anion corrections ... -10.11 kJ per mole of atoms

---

The following is a DFT calculation (GGA-PBE) of a geometry-optimized KNiH2W structure.

Geometry as extended XYZ:
```
5
Lattice="3.6430 0.0000 0.0000 0.0000 7.1045 0.0000 0.0000 0.0000 3.6430" Properties=species:S:1:pos:R:3 pbc="T T T"
W 0.0000 3.5522 0.0000
H 0.0000 0.0000 1.8215
H 1.8215 0.0000 0.0000
Ni 1.8215 3.5522 1.8215
K 0.0000 0.0000 0.0000
```

---

The following uncorrected energy values (in eV/cell) correspond, in order, to the records above: -117.741; -21.484; -23.495; -164.840; -24.721; -20.133; -304.656; -16.390.